[1]
Mg2CdRe after structural relaxation, computed with PBE-GGA.

Unit cell a=5.976 b=5.976 c=5.976 alpha=103.04 beta=103.04 gamma=123.29
Fractional positions:
Mg 0.122 0.625 0.997
Mg 0.375 0.372 0.497
Mg 0.628 0.125 0.003
Mg 0.875 0.878 0.503
Cd 0.250 0.750 0.500
Cd 0.500 0.500 0.000
Re 0.000 0.000 0.000
Re 0.750 0.250 0.500

Output
Electronic total energy (eV per atom): -3.332
ΔH_f (0 K) (eV per atom): 0.81

[2]
Mg2Ga3Au2 after structural relaxation, computed with PBE-GGA.

Unit cell a=5.176 b=5.176 c=7.158 alpha=107.29 beta=107.29 gamma=47.53
Fractional positions:
Mg 0.160 0.160 0.317
Mg 0.840 0.840 0.683
Ga 0.383 0.383 0.052
Ga 0.500 0.500 0.500
Ga 0.617 0.617 0.948
Au 0.147 0.147 0.723
Au 0.853 0.853 0.277

Output
Electronic total energy (eV per atom): -3.004
ΔH_f (0 K) (eV per atom): -0.31

[3]
Cd6GaAgPb after structural relaxation, computed with PBE-GGA.

Unit cell a=8.581 b=8.581 c=8.581 alpha=126.37 beta=111.05 gamma=92.74
Fractional positions:
Cd 0.117 0.322 0.180
Cd 0.117 0.937 0.795
Cd 0.285 0.035 0.250
Cd 0.332 0.582 0.750
Cd 0.358 0.063 0.680
Cd 0.358 0.678 0.295
Cd 0.642 0.322 0.705
Cd 0.642 0.937 0.320
Cd 0.668 0.418 0.250
Cd 0.715 0.965 0.750
Cd 0.883 0.063 0.205
Cd 0.883 0.678 0.820
Ga 0.000 0.500 0.500
Ga 0.500 0.500 0.000
Ag 0.500 0.000 0.000
Ag 0.500 0.500 0.500
Pb 0.039 0.289 0.750
Pb 0.961 0.711 0.250

Output
Electronic total energy (eV per atom): -1.581
ΔH_f (0 K) (eV per atom): 0.09

[4]
Ti2MnWSe after structural relaxation, computed with PBE-GGA.

Unit cell a=4.551 b=4.551 c=4.589 alpha=90.00 beta=90.00 gamma=90.00
Fractional positions:
Ti 0.000 0.500 0.000
Ti 0.500 0.000 0.000
Mn 0.000 0.000 0.500
W 0.500 0.500 0.500
Se 0.500 0.500 0.000

Output
Electronic total energy (eV per atom): -7.246

[5]
PrNd3Er3Se8 after structural relaxation, computed with PBE-GGA.

Unit cell a=8.281 b=8.281 c=8.281 alpha=59.63 beta=59.63 gamma=59.63
Fractional positions:
Pr 0.000 0.000 0.000
Nd 0.000 0.000 0.500
Nd 0.000 0.500 0.000
Nd 0.500 0.000 0.000
Er 0.000 0.500 0.500
Er 0.500 0.000 0.500
Er 0.500 0.500 0.000
Se 0.255 0.255 0.255
Se 0.258 0.258 0.730
Se 0.258 0.730 0.258
Se 0.270 0.742 0.742
Se 0.730 0.258 0.258
Se 0.742 0.270 0.742
Se 0.742 0.742 0.270
Se 0.745 0.745 0.745

Output
Electronic total energy (eV per atom): -5.878

[6]
DyGaSi after structural relaxation, computed with PBE-GGA.

Unit cell a=4.118 b=4.118 c=4.030 alpha=90.00 beta=90.00 gamma=120.00
Fractional positions:
Dy 0.000 0.000 0.000
Ga 0.667 0.333 0.459
Si 0.333 0.667 0.536

Output
Electronic total energy (eV per atom): -4.975

[7]
FeReRh2 after structural relaxation, computed with PBE-GGA.

Unit cell a=2.699 b=2.699 c=7.568 alpha=90.00 beta=90.00 gamma=90.00
Fractional positions:
Fe 0.000 0.000 0.000
Re 0.500 0.500 0.248
Rh 0.000 0.000 0.498
Rh 0.500 0.500 0.769

Output
Distance to the lowest polymorph of the same formula (kJ per mole of atoms): 7.4
Electronic total energy (eV per atom): -8.909
ΔH_f (0 K) (eV per atom): -0.01

[8]
Pm3Er2Cd4 after structural relaxation, computed with PBE-GGA.

Unit cell a=10.322 b=10.322 c=8.082 alpha=90.00 beta=90.00 gamma=142.49
Fractional positions:
Pm 0.000 0.000 0.000
Pm 0.004 0.496 0.250
Pm 0.496 0.004 0.750
Pm 0.500 0.500 0.500
Pm 0.504 0.996 0.250
Pm 0.996 0.504 0.750
Er 0.089 0.911 0.399
Er 0.411 0.589 0.899
Er 0.589 0.411 0.101
Er 0.911 0.089 0.601
Cd 0.155 0.845 0.022
Cd 0.171 0.329 0.250
Cd 0.329 0.171 0.750
Cd 0.345 0.655 0.522
Cd 0.655 0.345 0.478
Cd 0.671 0.829 0.250
Cd 0.829 0.671 0.750
Cd 0.845 0.155 0.978

Output
Electronic total energy (eV per atom): -3.116
ΔH_f (0 K) (eV per atom): -0.11